# 1
The following is a DFT calculation (GGA-PBE) of a relaxed structure of Ca2Hg4Pb3.

a = 5.3406 Å, b = 5.3326 Å, c = 11.4404 Å
α = 62.17°, β = 76.50°, γ = 59.95°
With the nearest neighbours (Å) after each atom.
Fractional coordinates of all 9 atoms:
1 Ca 0.6666 0.8821 0.7847  7 Hg 3.25-3.31, 1 Pb 3.51
2 Pb 0.0000 0.0000 0.0000  8 Hg 3.27-3.39
3 Hg 0.9996 0.3355 0.6654  4 Pb 3.25-3.39, 3 Ca 3.30-3.31, 1 Hg 3.35
4 Hg 0.6675 0.5534 0.1115  4 Ca 3.25-3.31, 4 Pb 3.27-3.30
5 Pb 0.3332 0.7712 0.5624  4 Hg 3.25-3.30, 3 Pb 3.33, 1 Ca 3.51
6 Hg 0.0004 0.6645 0.3346  4 Pb 3.25-3.39, 3 Ca 3.30-3.31, 1 Hg 3.35
7 Pb 0.6668 0.2288 0.4376  4 Hg 3.25-3.30, 3 Pb 3.33, 1 Ca 3.51
8 Hg 0.3325 0.4466 0.8885  4 Ca 3.25-3.31, 4 Pb 3.27-3.30
9 Ca 0.3334 0.1179 0.2153  7 Hg 3.25-3.31, 1 Pb 3.51

Properties
The calculation puts the formation energy at -297 meV per atom. The value obtained for the total DFT energy (no corrections) is -0.078 Ha/atom.

=====

# 2
The following is a DFT calculation (GGA-PBE) of a relaxed structure of DyScCo4.

a = 4.9767 Å, b = 4.9767 Å, c = 4.9767 Å
α = 60.00°, β = 60.00°, γ = 60.00°
With the nearest neighbours (Å) after each atom.
Fractional coordinates of all 6 atoms:
1 Co 0.6255 0.6255 0.6255  6 Co 2.48-2.50
2 Co 0.1235 0.6255 0.6255  6 Co 2.48-2.50
3 Sc 0.0000 0.0000 0.0000  12 Co 2.92, 4 Dy 3.05
4 Co 0.6255 0.6255 0.1235  6 Co 2.48-2.50
5 Co 0.6255 0.1235 0.6255  6 Co 2.48-2.50
6 Dy 0.2500 0.2500 0.2500  12 Co 2.92, 4 Sc 3.05

Properties
The calculation puts the formation energy at -268 meV per atom. The value obtained for the total DFT energy (no corrections) is -0.251 Ha/atom.

=====

# 3
The following is a DFT calculation (GGA-PBE) of a relaxed structure of La4ZnPd.

a = 6.6231 Å, b = 7.3595 Å, c = 7.3595 Å
α = 90.00°, β = 90.00°, γ = 90.00°
With the nearest neighbours (Å) after each atom.
Fractional coordinates of all 12 atoms:
1 Zn 0.2500 0.5000 0.5000  8 La 3.23, 2 Zn 3.31
2 La 0.0000 0.6760 0.8325  2 Pd 3.15, 2 Zn 3.23
3 Pd 0.7500 0.0000 0.0000  8 La 3.15, 2 Pd 3.31
4 La 0.0000 0.3240 0.1675  2 Pd 3.15, 2 Zn 3.23
5 La 0.5000 0.8325 0.6760  2 Pd 3.15, 2 Zn 3.23
6 La 0.0000 0.8325 0.3240  2 Pd 3.15, 2 Zn 3.23
7 La 0.5000 0.6760 0.1675  2 Pd 3.15, 2 Zn 3.23
8 Pd 0.2500 0.0000 0.0000  8 La 3.15, 2 Pd 3.31
9 Zn 0.7500 0.5000 0.5000  8 La 3.23, 2 Zn 3.31
10 La 0.5000 0.1675 0.3240  2 Pd 3.15, 2 Zn 3.23
11 La 0.5000 0.3240 0.8325  2 Pd 3.15, 2 Zn 3.23
12 La 0.0000 0.1675 0.6760  2 Pd 3.15, 2 Zn 3.23

Properties
The calculation puts the formation energy at -336 meV per atom. The value obtained for the total DFT energy (no corrections) is -0.173 Ha/atom. The polymorph energy (0 for the lowest one) is 0.000 eV per atom.

=====

# 4
The following is a DFT calculation (GGA-PBE) of a relaxed structure of RbSi2SnRh.

a = 5.2411 Å, b = 5.7184 Å, c = 5.2411 Å
α = 90.00°, β = 90.00°, γ = 90.00°
With the nearest neighbours (Å) after each atom.
Fractional coordinates of all 5 atoms:
1 Sn 0.0000 0.5000 0.0000  2 Rb 2.86
2 Rb 0.0000 0.0000 0.0000  4 Si 2.62, 2 Sn 2.86
3 Si 0.5000 0.0000 0.0000  2 Rb 2.62
4 Rh 0.5000 0.5000 0.5000  4 Sn 3.71, 8 Si 3.88
5 Si 0.0000 0.0000 0.5000  2 Rb 2.62

Properties
As for the formation energy from raw total energies: 2.428 eV per atom. The value obtained for the total DFT energy (no corrections) is -0.081 Ha/atom.

=====

# 5
The following is a DFT calculation (GGA-PBE) of a relaxed structure of Ho2Th2Zn.

a = 3.5537 Å, b = 3.5537 Å, c = 11.3717 Å
α = 98.99°, β = 98.99°, γ = 90.00°
With the nearest neighbours (Å) after each atom.
Fractional coordinates of all 5 atoms:
1 Ho 0.5814 0.5814 0.1627  4 Zn 3.09
2 Ho 0.4186 0.4186 0.8373  4 Zn 3.09
3 Th 0.1943 0.1943 0.3885  8 Th 3.53-3.55, 4 Ho 3.55
4 Zn 0.0000 0.0000 0.0000  8 Ho 3.09
5 Th 0.8057 0.8057 0.6115  8 Th 3.53-3.55, 4 Ho 3.55

Properties
The calculation puts the formation energy at -128 meV per atom. The value obtained for the total DFT energy (no corrections) is -0.190 Ha/atom.

=====

# 6
The following is a DFT calculation (GGA-PBE) of a relaxed structure of CdAu2Se.

a = 2.9675 Å, b = 2.9675 Å, c = 8.9785 Å
α = 90.00°, β = 90.00°, γ = 90.02°
With the nearest neighbours (Å) after each atom.
Fractional coordinates of all 4 atoms:
1 Au 0.0000 0.0000 0.0178  4 Cd 2.96, 4 Au 2.97, 4 Se 3.19
2 Cd 0.5000 0.5000 0.2500  8 Au 2.96, 4 Cd 2.97
3 Au 0.0000 0.0000 0.4822  4 Cd 2.96, 4 Au 2.97, 4 Se 3.19
4 Se 0.5000 0.5000 0.7500  4 Se 2.97, 8 Au 3.19

Properties
As for the formation energy from raw total energies: 0.105 eV per atom. The value obtained for the total DFT energy (no corrections) is -0.097 Ha/atom. The polymorph energy (0 for the lowest one) is 0.140 eV per atom.

=====

Ordered N(E_F) results: 0.340; 1.164; 1.115; 1.252; 1.431; 0.297; unit states/eV/atom.
Ordered magnetic moment results: 0.00; 0.63; 0.00; 0.12; 0.00; 0.00; unit μB/atom.
Ordered calculated volume results: 249; 87; 179; 157; 140; 79; unit Å³/f.u..